K2Nb3Cl9 | PBE-GGA | relaxed

abc: 9.9425 9.9425 9.8278
angles: 77.68 77.68 118.37
Last column: nearest neighbours and their distance in Å.
Sites, in units of the cell vectors:
Cl: 0.7993 0.5940 0.0237  2 Nb 2.49
Cl: 0.1050 0.4942 0.6754  1 Nb 2.66
Cl: 0.5940 0.7993 0.0237  2 Nb 2.49
Cl: 0.8926 0.0957 0.3077  2 Nb 2.47-2.48
Cl: 0.3110 0.3110 0.6682  2 Nb 2.48
Cl: 0.2858 0.2858 0.2710  1 Nb 2.60
Cl: 0.0957 0.8926 0.3077  2 Nb 2.47-2.48
Cl: 0.8950 0.5058 0.3246  1 Nb 2.66
Cl: 0.4942 0.1050 0.6754  1 Nb 2.66
Cl: 0.7142 0.7142 0.7290  1 Nb 2.60
Cl: 0.4060 0.2007 0.9763  2 Nb 2.49
Cl: 0.2007 0.4060 0.9763  2 Nb 2.49
Cl: 0.1074 0.9043 0.6923  2 Nb 2.47-2.48
Cl: 0.9043 0.1074 0.6923  2 Nb 2.47-2.48
Cl: 0.2037 0.7963 0.0000  2 Nb 2.49
Cl: 0.6890 0.6890 0.3318  2 Nb 2.48
Cl: 0.7963 0.2037 0.0000  2 Nb 2.49
Cl: 0.5058 0.8950 0.3246  1 Nb 2.66
Nb: 0.0450 0.2172 0.8588  5 Cl 2.47-2.66
Nb: 0.9550 0.7828 0.1412  5 Cl 2.47-2.66
Nb: 0.2172 0.0450 0.8588  5 Cl 2.47-2.66
Nb: 0.8729 0.8729 0.8789  5 Cl 2.48-2.60
Nb: 0.1271 0.1271 0.1211  5 Cl 2.48-2.60
Nb: 0.7828 0.9550 0.1412  5 Cl 2.47-2.66
K: 0.7697 0.4480 0.6720  5 Cl 3.08-3.44
K: 0.5520 0.2303 0.3280  5 Cl 3.08-3.44
K: 0.2303 0.5520 0.3280  5 Cl 3.08-3.44
K: 0.4480 0.7697 0.6720  5 Cl 3.08-3.44

Results
Raw formation energy: -1.49 eV/atom
Space group: No. 12
Calculated total energy: -139.9 eV for the cell shown
Calculated density: 2.888 g cm⁻³

MgAsBr | PBE-GGA | relaxed

abc: 4.7262 4.7262 4.7262
angles: 60.00 60.00 60.00
Last column: nearest neighbours and their distance in Å.
Sites, in units of the cell vectors:
As: 0.0000 0.0000 0.0000  4 Mg 2.89
Mg: 0.7500 0.7500 0.7500  4 As 2.89, 4 Br 2.89
Br: 0.5000 0.5000 0.5000  4 Mg 2.89

Results
Raw formation energy: -0.03 eV/atom
Space group: No. 216
Polymorph energy (0 for the lowest one): 811 meV per atom
Calculated total energy: -8.0 eV for the cell shown
Calculated density: 3.985 g cm⁻³

Sm3Ho4Tm5 | PBE-GGA | relaxed

abc: 7.0690 11.1680 12.7348
angles: 151.30 56.38 129.25
Last column: nearest neighbours and their distance in Å.
Sites, in units of the cell vectors:
Tm: 0.6679 0.3331 0.1652  3 Tm 3.52-3.53, 4 Sm 3.52-3.54, 5 Ho 3.52-3.55
Tm: 0.3321 0.6669 0.8348  3 Tm 3.52-3.53, 4 Sm 3.52-3.54, 5 Ho 3.52-3.55
Tm: 0.7495 0.5008 0.0008  3 Ho 3.52, 6 Tm 3.52-3.54, 3 Sm 3.53-3.54
Tm: 0.5000 0.0000 0.5000  4 Ho 3.52-3.53, 4 Tm 3.53, 4 Sm 3.53
Tm: 0.2505 0.4992 0.9992  3 Ho 3.52, 6 Tm 3.52-3.54, 3 Sm 3.53-3.54
Ho: 0.0823 0.1650 0.3319  5 Tm 3.52-3.55, 3 Ho 3.52-3.54, 4 Sm 3.53-3.54
Ho: 0.1678 0.3348 0.1669  5 Tm 3.52-3.54, 4 Ho 3.52-3.55, 3 Sm 3.53-3.54
Ho: 0.9177 0.8350 0.6681  5 Tm 3.52-3.55, 3 Ho 3.52-3.54, 4 Sm 3.53-3.54
Ho: 0.8322 0.6652 0.8331  5 Tm 3.52-3.54, 4 Ho 3.52-3.55, 3 Sm 3.53-3.54
Sm: 0.4163 0.8330 0.6665  5 Tm 3.52-3.54, 6 Ho 3.53-3.54, 1 Sm 3.54
Sm: 0.5837 0.1670 0.3335  5 Tm 3.52-3.54, 6 Ho 3.53-3.54, 1 Sm 3.54
Sm: 0.0000 0.0000 0.5000  8 Tm 3.52-3.54, 2 Ho 3.54, 2 Sm 3.54

Results
Space group: No. 2
Polymorph energy (0 for the lowest one): 0 meV per atom
Calculated total energy: -54.6 eV for the cell shown
Calculated density: 8.683 g cm⁻³
DFT formation energy: 21 meV/atom